[1]
A plane-wave DFT calculation with GGA-PBE was carried out for a relaxed MnNi2Sn crystal.

Values from the calculation:
M_tot (μB per formula unit): 3.5
V (Å³ per atom): 14.76
Raw total energy (eV/atom): -5.87

Unit cell a=3.714 b=3.714 c=17.120 alpha=90.00 beta=90.00 gamma=90.00
Space group I-42d (No. 122)
One atom of each set of equivalent atoms:
Mn: 0.000 0.000 0.000 x4
Ni: 0.232 0.250 0.125 x8
Sn: 0.000 0.000 0.500 x4



[2]
A plane-wave DFT calculation with GGA-PBE was carried out for a relaxed Ta2TcAg crystal.

Values from the calculation:
M_tot (μB per formula unit): 0.0
V (Å³ per atom): 17.16
E above lowest polymorph (meV/atom): 82
Raw total energy (eV/atom): -9.09

Unit cell a=3.289 b=3.289 c=6.347 alpha=90.00 beta=90.00 gamma=90.00
Space group P4mm (No. 99)
One atom of each set of equivalent atoms:
Ta: 0.000 0.000 0.000 x1
Ta: 0.500 0.500 0.260 x1
Tc: 0.000 0.000 0.473 x1
Ag: 0.500 0.500 0.741 x1



[3]
A plane-wave DFT calculation with GGA-PBE was carried out for a relaxed SiTeRh2 crystal.

Values from the calculation:
M_tot (μB per formula unit): 0.0
V (Å³ per atom): 18.79
E above lowest polymorph (meV/atom): 409
E_form (uncorrected) (eV per atom): -0.005
Raw total energy (eV/atom): -5.82

Unit cell a=3.4239 b=3.4239 c=22.2140 alpha=90.00 beta=90.00 gamma=120.00
Space group R3m (No. 160, hexagonal axes)
One atom of each set of equivalent atoms:
Si: 0.0000 0.0000 0.0000 x3
Te: 0.0000 0.0000 0.2228 x3
Rh: 0.0000 0.0000 0.4835 x3
Rh: 0.0000 0.0000 0.7195 x3



[4]
A plane-wave DFT calculation with GGA-PBE was carried out for a relaxed Tm12Th5Sc crystal.

Values from the calculation:
M_tot (μB per formula unit): 0.0
V (Å³ per atom): 30.40
Raw total energy (eV/atom): -5.39

Unit cell a=6.105 b=10.570 c=17.081 alpha=90.00 beta=96.83 gamma=90.00
Space group C2/m (No. 12)
One atom of each set of equivalent atoms:
Tm: 0.111 0.166 0.334 x8
Tm: 0.112 0.500 0.334 x4
Tm: 0.222 0.000 0.165 x4
Tm: 0.222 0.333 0.165 x8
Th: 0.000 0.167 0.000 x4
Th: 0.000 0.333 0.500 x4
Th: 0.000 0.500 0.000 x2
Sc: 0.000 0.000 0.500 x2



[5]
A plane-wave DFT calculation with GGA-PBE was carried out for a relaxed TbPr2Cu6 crystal.

Values from the calculation:
M_tot (μB per formula unit): 0.0
V (Å³ per atom): 19.75
Raw total energy (eV/atom): -4.53

Unit cell a=7.4094 b=7.4094 c=3.7382 alpha=90.00 beta=90.00 gamma=120.00
Space group P6/mmm (No. 191)
One atom of each set of equivalent atoms:
Tb: 0.0000 0.0000 0.0000 x1
Pr: 0.3333 0.6667 0.0000 x2
Cu: 0.0000 0.3306 0.5000 x6



[6]
A plane-wave DFT calculation with GGA-PBE was carried out for a relaxed NiSbRu crystal.

Values from the calculation:
M_tot (μB per formula unit): 0.0
V (Å³ per atom): 17.89
E above lowest polymorph (meV/atom): 0
E_form (uncorrected) (eV per atom): 0.105
Raw total energy (eV/atom): -6.29

Unit cell a=5.987 b=5.987 c=5.987 alpha=90.00 beta=90.00 gamma=90.00
Space group F-43m (No. 216)
One atom of each set of equivalent atoms:
Ni: 0.000 0.000 0.000 x4
Sb: 0.000 0.000 0.500 x4
Ru: 0.250 0.250 0.250 x4



[7]
A plane-wave DFT calculation with GGA-PBE was carried out for a relaxed Ta4BS5 crystal.

Values from the calculation:
M_tot (μB per formula unit): 0.0
V (Å³ per atom): 17.75
E_form (uncorrected) (eV per atom): -0.998
Raw total energy (eV/atom): -8.47

Unit cell a=15.397 b=3.388 c=6.979 alpha=90.00 beta=102.85 gamma=90.00
Space group C2/m (No. 12)
One atom of each set of equivalent atoms:
Ta: 0.001 0.000 0.284 x4
Ta: 0.144 0.500 0.576 x4
B: 0.000 0.500 0.500 x2
S: 0.000 0.500 0.000 x2
S: 0.163 0.000 0.836 x4
S: 0.172 0.000 0.334 x4



[8]
A plane-wave DFT calculation with GGA-PBE was carried out for a relaxed Mg3TiN crystal.

Values from the calculation:
M_tot (μB per formula unit): 1.2
V (Å³ per atom): 16.72
E above lowest polymorph (meV/atom): 0
E_form (uncorrected) (eV per atom): 0.138
Raw total energy (eV/atom): -4.06

Unit cell a=4.373 b=4.373 c=4.373 alpha=90.00 beta=90.00 gamma=90.00
Space group Pm-3m (No. 221)
One atom of each set of equivalent atoms:
Mg: 0.000 0.000 0.500 x3
Ti: 0.500 0.500 0.500 x1
N: 0.000 0.000 0.000 x1



[9]
A plane-wave DFT calculation with GGA-PBE was carried out for a relaxed NdPa2S4 crystal.

Values from the calculation:
M_tot (μB per formula unit): 2.1
V (Å³ per atom): 23.51
E_form (uncorrected) (eV per atom): -1.668
Raw total energy (eV/atom): -7.42

Unit cell a=3.828 b=12.919 c=13.312 alpha=90.00 beta=90.00 gamma=90.00
Space group Cmcm (No. 63)
One atom of each set of equivalent atoms:
Nd: 0.000 0.117 0.250 x4
Pa: 0.000 0.362 0.063 x8
S: 0.000 0.000 0.000 x4
S: 0.000 0.275 0.628 x8
S: 0.000 0.452 0.250 x4



[10]
A plane-wave DFT calculation with GGA-PBE was carried out for a relaxed PrNdHgAu crystal.

Values from the calculation:
M_tot (μB per formula unit): 0.0
V (Å³ per atom): 27.22
E above lowest polymorph (meV/atom): 13
Raw total energy (eV/atom): -3.88

Unit cell a=7.580 b=7.580 c=7.580 alpha=90.00 beta=90.00 gamma=90.00
Space group F-43m (No. 216)
One atom of each set of equivalent atoms:
Pr: 0.000 0.000 0.000 x4
Nd: 0.000 0.000 0.500 x4
Hg: 0.250 0.250 0.750 x4
Au: 0.250 0.250 0.250 x4



[11]
A plane-wave DFT calculation with GGA-PBE was carried out for a relaxed Sc4CdGa2Pd crystal.

Values from the calculation:
M_tot (μB per formula unit): 0.0
V (Å³ per atom): 19.55
Raw total energy (eV/atom): -5.29

Unit cell a=4.8050 b=4.8050 c=23.4655 alpha=90.00 beta=90.00 gamma=120.00
Space group R-3m (No. 166, hexagonal axes)
One atom of each set of equivalent atoms:
Sc: 0.0000 0.0000 0.1195 x6
Sc: 0.0000 0.0000 0.3709 x6
Cd: 0.0000 0.0000 0.5000 x3
Ga: 0.0000 0.0000 0.2470 x6
Pd: 0.0000 0.0000 0.0000 x3